Entry 1:
Below is a relaxed BaGaIN2 crystal, with properties calculated at the PBE-GGA level. Values from VASP.

Polymorph energy (0 for the lowest one), eV per formula unit: 2.312
Final energy, eV per atom: -3.566
SG: No. 123
Spin magnetization, μB/atom: 0.80
ΔE_f (raw), meV per atom: 1064

Quantum ESPRESSO input file:
```
&SYSTEM
  ibrav = 0, nat = 5, ntyp = 4
/
ATOMIC_SPECIES
I 126.90 I.upf
Ba 137.33 Ba.upf
Ga 69.72 Ga.upf
N 14.01 N.upf
ATOMIC_POSITIONS angstrom
I 0.000 0.000 3.533
Ba 0.000 0.000 0.000
Ga 2.607 2.607 3.533
N 0.000 2.607 0.000
N 2.607 0.000 0.000
CELL_PARAMETERS angstrom
5.214 0.000 0.000
0.000 5.214 0.000
0.000 0.000 7.066
```

***

Entry 2:
Below is a relaxed MnWN2 crystal, with properties calculated at the PBE-GGA level. Values from VASP.

Final energy, eV per atom: -9.754
SG: No. 166
Spin magnetization, μB/atom: 0.85
ΔE_f (raw), meV per atom: -60

Quantum ESPRESSO input file:
```
&SYSTEM
  ibrav = 0, nat = 4, ntyp = 3
/
ATOMIC_SPECIES
Mn 54.94 Mn.upf
W 183.84 W.upf
N 14.01 N.upf
ATOMIC_POSITIONS angstrom
Mn 0.000 0.000 0.000
W -2.145 -4.221 8.037
N -3.848 -7.572 14.418
N -0.442 -0.869 1.655
CELL_PARAMETERS angstrom
-2.897 -3.384 4.667
0.000 -3.761 5.242
-1.393 -1.296 6.165
```

***

Entry 3:
Below is a relaxed Tb4DySb5 crystal, with properties calculated at the PBE-GGA level. Values from VASP.

Final energy, eV per atom: -5.520
SG: No. 139
Spin magnetization, μB/atom: 0.00
ΔE_f (raw), meV per atom: -1147

Quantum ESPRESSO input file:
```
&SYSTEM
  ibrav = 0, nat = 10, ntyp = 3
/
ATOMIC_SPECIES
Tb 158.93 Tb.upf
Dy 162.50 Dy.upf
Sb 121.76 Sb.upf
ATOMIC_POSITIONS angstrom
Tb 0.000 0.000 12.437
Tb 2.199 2.199 9.330
Tb 0.000 0.000 6.214
Tb 2.199 2.199 3.107
Dy 0.000 0.000 0.000
Sb 0.000 0.000 3.101
Sb 2.199 2.199 0.000
Sb 2.199 2.199 12.443
Sb 0.000 0.000 9.327
Sb 2.199 2.199 6.217
CELL_PARAMETERS angstrom
4.397 0.000 0.000
0.000 4.397 0.000
-2.199 -2.199 15.544
```

***

Entry 4:
Below is a relaxed K2LiLa crystal, with properties calculated at the PBE-GGA level. Values from VASP.

Final energy, eV per atom: -1.865
E_form, eV/atom: 0.39
SG: No. 44
Spin magnetization, μB/atom: 0.04

Quantum ESPRESSO input file:
```
&SYSTEM
  ibrav = 0, nat = 4, ntyp = 3
/
ATOMIC_SPECIES
K 39.10 K.upf
La 138.91 La.upf
Li 6.94 Li.upf
ATOMIC_POSITIONS angstrom
K -0.291 -0.370 0.054
K -4.867 -0.785 -0.884
La -3.957 -5.024 0.728
Li -2.634 -2.262 2.135
CELL_PARAMETERS angstrom
-6.624 -4.098 -2.211
-2.008 -6.862 3.799
1.199 8.000 -0.350
```

***

Entry 5:
Below is a relaxed TmThTlPd crystal, with properties calculated at the PBE-GGA level. Values from VASP.

Final energy, eV per atom: -5.249
E_form, eV/atom: -0.39
SG: No. 216
Spin magnetization, μB/atom: 0.00

Quantum ESPRESSO input file:
```
&SYSTEM
  ibrav = 0, nat = 4, ntyp = 4
/
ATOMIC_SPECIES
Tl 204.38 Tl.upf
Tm 168.93 Tm.upf
Pd 106.42 Pd.upf
Th 232.04 Th.upf
ATOMIC_POSITIONS angstrom
Tl 0.000 0.000 0.000
Tm -1.083 0.949 9.535
Pd -0.722 0.633 6.357
Th -0.361 0.316 3.178
CELL_PARAMETERS angstrom
-3.492 0.420 3.896
0.997 -2.189 4.666
1.052 3.035 4.152
```

***

Entry 6:
Below is a relaxed Dy2YS crystal, with properties calculated at the PBE-GGA level. Values from VASP.

Final energy, eV per atom: -5.679
SG: No. 166
Spin magnetization, μB/atom: 0.18
ΔE_f (raw), meV per atom: -730

Quantum ESPRESSO input file:
```
&SYSTEM
  ibrav = 0, nat = 4, ntyp = 3
/
ATOMIC_SPECIES
Y 88.91 Y.upf
S 32.06 S.upf
Dy 162.50 Dy.upf
ATOMIC_POSITIONS angstrom
Y 0.000 0.000 0.000
S 3.657 2.112 5.010
Dy 1.829 1.056 6.652
Dy 5.486 3.167 3.367
CELL_PARAMETERS angstrom
3.657 0.000 0.000
1.829 3.167 0.000
1.829 1.056 10.019
```

***

Entry 7:
Below is a relaxed La5Sn2Sb crystal, with properties calculated at the PBE-GGA level. Values from VASP.

Final energy, eV per atom: -5.363
SG: No. 55
Spin magnetization, μB/atom: 0.00
ΔE_f (raw), meV per atom: -768

Quantum ESPRESSO input file:
```
&SYSTEM
  ibrav = 0, nat = 16, ntyp = 3
/
ATOMIC_SPECIES
La 138.91 La.upf
Sn 118.71 Sn.upf
Sb 121.76 Sb.upf
ATOMIC_POSITIONS angstrom
La -5.899 0.287 2.881
La 1.864 -0.471 3.863
La 0.600 -0.674 7.807
La -8.670 0.306 5.682
La -6.033 -0.202 9.168
La -2.037 -0.166 4.321
La -2.600 -2.830 7.794
La -5.890 -2.345 5.313
La -8.232 -2.611 11.230
La -0.259 -2.564 1.877
Sn -0.087 -2.851 5.288
Sn -8.404 -2.324 7.818
Sn -4.720 -2.883 10.792
Sn -3.770 -2.291 2.314
Sb -4.035 -0.184 6.745
Sb 0.000 0.000 0.000
CELL_PARAMETERS angstrom
-0.421 -4.807 -0.383
3.728 -0.941 7.726
-11.798 0.574 5.763
```

***

Question: Look up the spin magnetization of the sixth one.
Answer: 0.18 μB/atom

***

Please write out number 3 again, unchanged.
Below is a relaxed Tb4DySb5 crystal, with properties calculated at the PBE-GGA level. Values from VASP.

Final energy, eV per atom: -5.520
SG: No. 139
Spin magnetization, μB/atom: 0.00
ΔE_f (raw), meV per atom: -1147

Quantum ESPRESSO input file:
```
&SYSTEM
  ibrav = 0, nat = 10, ntyp = 3
/
ATOMIC_SPECIES
Tb 158.93 Tb.upf
Dy 162.50 Dy.upf
Sb 121.76 Sb.upf
ATOMIC_POSITIONS angstrom
Tb 0.000 0.000 12.437
Tb 2.199 2.199 9.330
Tb 0.000 0.000 6.214
Tb 2.199 2.199 3.107
Dy 0.000 0.000 0.000
Sb 0.000 0.000 3.101
Sb 2.199 2.199 0.000
Sb 2.199 2.199 12.443
Sb 0.000 0.000 9.327
Sb 2.199 2.199 6.217
CELL_PARAMETERS angstrom
4.397 0.000 0.000
0.000 4.397 0.000
-2.199 -2.199 15.544
```

***

Repeat the sixth record exactly.
Below is a relaxed Dy2YS crystal, with properties calculated at the PBE-GGA level. Values from VASP.

Final energy, eV per atom: -5.679
SG: No. 166
Spin magnetization, μB/atom: 0.18
ΔE_f (raw), meV per atom: -730

Quantum ESPRESSO input file:
```
&SYSTEM
  ibrav = 0, nat = 4, ntyp = 3
/
ATOMIC_SPECIES
Y 88.91 Y.upf
S 32.06 S.upf
Dy 162.50 Dy.upf
ATOMIC_POSITIONS angstrom
Y 0.000 0.000 0.000
S 3.657 2.112 5.010
Dy 1.829 1.056 6.652
Dy 5.486 3.167 3.367
CELL_PARAMETERS angstrom
3.657 0.000 0.000
1.829 3.167 0.000
1.829 1.056 10.019
```

***

Question: final energy of number 4 (K2LiLa)?
Answer: -1.865 eV per atom